An optimized crystal structure of AcCuN, computed with PBE.

Cell lengths 3.903, 9.255, 6.693 Å; angles 90.00, 107.46, 90.00 degrees
Atoms (fractional coordinates):
Ac: 0.125 0.161 0.387
Ac: 0.125 0.339 0.887
Ac: 0.875 0.661 0.113
Ac: 0.875 0.839 0.613
Cu: 0.376 0.556 0.624
Cu: 0.376 0.944 0.124
Cu: 0.624 0.056 0.876
Cu: 0.624 0.444 0.376
N: 0.227 0.630 0.862
N: 0.227 0.870 0.362
N: 0.773 0.130 0.638
N: 0.773 0.370 0.138

Summary:
**Volume**: 230.6 Å³ per cell
**ΔE_f (raw)**: -491 meV/atom
**Electronic total energy**: -6.00 eV per atom


An optimized crystal structure of Ac3CuN3, computed with PBE.

Cell lengths 3.936, 3.936, 8.985 Å; angles 90.00, 90.00, 90.00 degrees
Atoms (fractional coordinates):
Ac: 0.000 0.000 0.000
Ac: 0.500 0.500 0.292
Ac: 0.500 0.500 0.708
Cu: 0.000 0.000 0.500
N: 0.000 0.000 0.288
N: 0.000 0.000 0.712
N: 0.500 0.500 0.000

Summary:
**Volume**: 139.2 Å³ per cell
**ΔE_f (raw)**: -920 meV/atom
**Electronic total energy**: -6.83 eV per atom


An optimized crystal structure of Ac12Cu3N5, computed with PBE.

Cell lengths 14.609, 14.609, 14.609 Å; angles 109.47, 109.47, 109.47 degrees
Atoms (fractional coordinates):
Ac: 0.018 0.202 0.115
Ac: 0.018 0.316 0.903
Ac: 0.087 0.702 0.684
Ac: 0.087 0.885 0.403
Ac: 0.097 0.615 0.413
Ac: 0.097 0.982 0.684
Ac: 0.115 0.018 0.202
Ac: 0.115 0.597 0.913
Ac: 0.184 0.202 0.587
Ac: 0.184 0.482 0.597
Ac: 0.202 0.115 0.018
Ac: 0.202 0.587 0.184
Ac: 0.298 0.316 0.913
Ac: 0.298 0.482 0.385
Ac: 0.316 0.903 0.018
Ac: 0.316 0.913 0.298
Ac: 0.385 0.298 0.482
Ac: 0.385 0.587 0.903
Ac: 0.403 0.087 0.885
Ac: 0.403 0.816 0.518
Ac: 0.413 0.097 0.615
Ac: 0.413 0.816 0.798
Ac: 0.482 0.385 0.298
Ac: 0.482 0.597 0.184
Ac: 0.518 0.403 0.816
Ac: 0.518 0.615 0.702
Ac: 0.587 0.184 0.202
Ac: 0.587 0.903 0.385
Ac: 0.597 0.184 0.482
Ac: 0.597 0.913 0.115
Ac: 0.615 0.413 0.097
Ac: 0.615 0.702 0.518
Ac: 0.684 0.087 0.702
Ac: 0.684 0.097 0.982
Ac: 0.702 0.518 0.615
Ac: 0.702 0.684 0.087
Ac: 0.798 0.413 0.816
Ac: 0.798 0.885 0.982
Ac: 0.816 0.518 0.403
Ac: 0.816 0.798 0.413
Ac: 0.885 0.403 0.087
Ac: 0.885 0.982 0.798
Ac: 0.903 0.018 0.316
Ac: 0.903 0.385 0.587
Ac: 0.913 0.115 0.597
Ac: 0.913 0.298 0.316
Ac: 0.982 0.684 0.097
Ac: 0.982 0.798 0.885
Cu: 0.125 0.250 0.375
Cu: 0.125 0.375 0.750
Cu: 0.250 0.375 0.125
Cu: 0.250 0.875 0.625
Cu: 0.375 0.125 0.250
Cu: 0.375 0.750 0.125
Cu: 0.625 0.250 0.875
Cu: 0.625 0.875 0.750
Cu: 0.750 0.125 0.375
Cu: 0.750 0.625 0.875
Cu: 0.875 0.625 0.250
Cu: 0.875 0.750 0.625
N: 0.000 0.000 0.000
N: 0.000 0.000 0.500
N: 0.000 0.500 0.000
N: 0.000 0.500 0.500
N: 0.125 0.750 0.875
N: 0.125 0.875 0.250
N: 0.250 0.125 0.875
N: 0.250 0.625 0.375
N: 0.375 0.250 0.625
N: 0.375 0.625 0.750
N: 0.500 0.000 0.000
N: 0.500 0.000 0.500
N: 0.500 0.500 0.000
N: 0.500 0.500 0.500
N: 0.625 0.375 0.250
N: 0.625 0.750 0.375
N: 0.750 0.375 0.625
N: 0.750 0.875 0.125
N: 0.875 0.125 0.750
N: 0.875 0.250 0.125

Summary:
**Volume**: 2400.4 Å³ per cell
**ΔE_f (raw)**: -495 meV/atom
**Electronic total energy**: -5.66 eV per atom


An optimized crystal structure of Ac2CuN2, computed with PBE.

Cell lengths 6.838, 6.838, 6.838 Å; angles 146.50, 146.50, 48.11 degrees
Atoms (fractional coordinates):
Ac: 0.147 0.147 0.000
Ac: 0.853 0.853 0.000
Cu: 0.500 0.500 0.000
N: 0.347 0.347 0.000
N: 0.653 0.653 0.000

Summary:
**Volume**: 97.0 Å³ per cell
**ΔE_f (raw)**: -835 meV/atom
**Electronic total energy**: -6.63 eV per atom


An optimized crystal structure of Ac2NpCu2N6, computed with PBE.

Cell lengths 6.436, 6.436, 6.436 Å; angles 54.63, 54.63, 54.63 degrees
Atoms (fractional coordinates):
Ac: 0.220 0.220 0.220
Ac: 0.780 0.780 0.780
Np: 0.000 0.000 0.000
Cu: 0.419 0.419 0.419
Cu: 0.581 0.581 0.581
N: 0.222 0.762 0.762
N: 0.238 0.238 0.778
N: 0.238 0.778 0.238
N: 0.762 0.222 0.762
N: 0.762 0.762 0.222
N: 0.778 0.238 0.238

Summary:
**Volume**: 164.9 Å³ per cell
**ΔE_f (raw)**: -459 meV/atom
**Electronic total energy**: -7.67 eV per atom


An optimized crystal structure of AcCu2PN4, computed with PBE.

Cell lengths 5.112, 5.112, 5.112 Å; angles 117.06, 117.06, 95.17 degrees
Atoms (fractional coordinates):
Ac: 0.000 0.000 0.000
Cu: 0.250 0.750 0.500
Cu: 0.750 0.250 0.500
P: 0.500 0.500 0.000
N: 0.180 0.537 0.000
N: 0.463 0.463 0.643
N: 0.537 0.180 0.000
N: 0.820 0.820 0.357

Summary:
**Volume**: 98.2 Å³ per cell
**ΔE_f (raw)**: -362 meV/atom
**Electronic total energy**: -6.74 eV per atom


An optimized crystal structure of Ac2CuPN, computed with PBE.

Cell lengths 6.727, 4.021, 8.614 Å; angles 90.00, 108.24, 90.00 degrees
Atoms (fractional coordinates):
Ac: 0.201 0.250 0.388
Ac: 0.221 0.250 0.964
Ac: 0.779 0.750 0.036
Ac: 0.799 0.750 0.612
Cu: 0.475 0.750 0.254
Cu: 0.525 0.250 0.746
P: 0.328 0.750 0.701
P: 0.672 0.250 0.299
N: 0.165 0.750 0.171
N: 0.835 0.250 0.829

Summary:
**Volume**: 221.3 Å³ per cell
**ΔE_f (raw)**: -939 meV/atom
**Electronic total energy**: -6.15 eV per atom


An optimized crystal structure of AcPa2CuN5, computed with PBE.

Cell lengths 7.394, 7.394, 7.394 Å; angles 126.79, 126.79, 78.59 degrees
Atoms (fractional coordinates):
Ac: 0.250 0.250 0.000
Ac: 0.750 0.750 0.000
Pa: 0.171 0.671 0.842
Pa: 0.329 0.171 0.500
Pa: 0.671 0.829 0.500
Pa: 0.829 0.329 0.158
Cu: 0.250 0.750 0.500
Cu: 0.750 0.250 0.500
N: 0.000 0.000 0.000
N: 0.026 0.222 0.500
N: 0.222 0.722 0.197
N: 0.278 0.474 0.500
N: 0.474 0.974 0.197
N: 0.500 0.500 0.000
N: 0.526 0.026 0.803
N: 0.722 0.526 0.500
N: 0.778 0.278 0.803
N: 0.974 0.778 0.500

Summary:
**Volume**: 251.0 Å³ per cell
**ΔE_f (raw)**: -1145 meV/atom
**Electronic total energy**: -8.79 eV per atom


An optimized crystal structure of AcCuPtN, computed with PBE.

Cell lengths 3.934, 3.934, 9.282 Å; angles 90.00, 90.00, 90.00 degrees
Atoms (fractional coordinates):
Ac: 0.250 0.250 0.152
Ac: 0.750 0.750 0.848
Cu: 0.250 0.250 0.680
Cu: 0.750 0.750 0.320
Pt: 0.250 0.750 0.500
Pt: 0.750 0.250 0.500
N: 0.250 0.250 0.884
N: 0.750 0.750 0.116

Summary:
**Volume**: 143.6 Å³ per cell
**ΔE_f (raw)**: -662 meV/atom
**Electronic total energy**: -6.30 eV per atom


An optimized crystal structure of AcPu2CuN4, computed with PBE.

Cell lengths 6.050, 6.050, 11.556 Å; angles 90.00, 90.00, 145.90 degrees
Atoms (fractional coordinates):
Ac: 0.100 0.900 0.750
Ac: 0.900 0.100 0.250
Pu: 0.369 0.631 0.556
Pu: 0.369 0.631 0.944
Pu: 0.631 0.369 0.056
Pu: 0.631 0.369 0.444
Cu: 0.168 0.832 0.250
Cu: 0.832 0.168 0.750
N: 0.000 0.000 0.000
N: 0.000 0.000 0.500
N: 0.261 0.739 0.106
N: 0.261 0.739 0.394
N: 0.434 0.566 0.750
N: 0.566 0.434 0.250
N: 0.739 0.261 0.606
N: 0.739 0.261 0.894

Summary:
**Volume**: 237.2 Å³ per cell
**ΔE_f (raw)**: -993 meV/atom
**Electronic total energy**: -9.76 eV per atom


An optimized crystal structure of Ac2CuSiN, computed with PBE.

Cell lengths 6.914, 4.051, 8.729 Å; angles 90.00, 107.87, 90.00 degrees
Atoms (fractional coordinates):
Ac: 0.202 0.250 0.389
Ac: 0.219 0.250 0.963
Ac: 0.781 0.750 0.037
Ac: 0.798 0.750 0.611
Cu: 0.463 0.750 0.247
Cu: 0.537 0.250 0.753
Si: 0.334 0.750 0.700
Si: 0.666 0.250 0.300
N: 0.159 0.750 0.165
N: 0.841 0.250 0.835

Summary:
**Volume**: 232.7 Å³ per cell
**ΔE_f (raw)**: -683 meV/atom
**Electronic total energy**: -5.90 eV per atom


An optimized crystal structure of SrAcCuN2, computed with PBE.

Cell lengths 5.855, 5.148, 7.132 Å; angles 90.00, 95.05, 90.00 degrees
Atoms (fractional coordinates):
Sr: 0.000 0.014 0.250
Sr: 0.000 0.986 0.750
Ac: 0.500 0.448 0.750
Ac: 0.500 0.552 0.250
Cu: 0.000 0.500 0.000
Cu: 0.000 0.500 0.500
N: 0.252 0.276 0.013
N: 0.252 0.724 0.513
N: 0.748 0.276 0.487
N: 0.748 0.724 0.987

Summary:
**Volume**: 214.1 Å³ per cell
**ΔE_f (raw)**: -536 meV/atom
**Electronic total energy**: -5.84 eV per atom


An optimized crystal structure of AcTh2CuN4, computed with PBE.

Cell lengths 6.282, 6.282, 12.036 Å; angles 90.00, 90.00, 145.89 degrees
Atoms (fractional coordinates):
Ac: 0.100 0.900 0.750
Ac: 0.900 0.100 0.250
Th: 0.368 0.632 0.560
Th: 0.368 0.632 0.940
Th: 0.632 0.368 0.060
Th: 0.632 0.368 0.440
Cu: 0.169 0.831 0.250
Cu: 0.831 0.169 0.750
N: 0.000 0.000 0.000
N: 0.000 0.000 0.500
N: 0.263 0.737 0.111
N: 0.263 0.737 0.389
N: 0.446 0.554 0.750
N: 0.554 0.446 0.250
N: 0.737 0.263 0.611
N: 0.737 0.263 0.889

Summary:
**Volume**: 266.4 Å³ per cell
**ΔE_f (raw)**: -1222 meV/atom
**Electronic total energy**: -8.27 eV per atom


An optimized crystal structure of Ac4CuW3N12, computed with PBE.

Cell lengths 7.031, 7.031, 7.031 Å; angles 109.47, 109.47, 109.47 degrees
Atoms (fractional coordinates):
Ac: 0.000 0.000 0.500
Ac: 0.000 0.500 0.000
Ac: 0.500 0.000 0.000
Ac: 0.500 0.500 0.500
Cu: 0.000 0.000 0.000
W: 0.000 0.500 0.500
W: 0.500 0.000 0.500
W: 0.500 0.500 0.000
N: 0.000 0.256 0.256
N: 0.000 0.744 0.744
N: 0.250 0.500 0.750
N: 0.250 0.750 0.500
N: 0.256 0.000 0.256
N: 0.256 0.256 0.000
N: 0.500 0.250 0.750
N: 0.500 0.750 0.250
N: 0.744 0.000 0.744
N: 0.744 0.744 0.000
N: 0.750 0.250 0.500
N: 0.750 0.500 0.250

Summary:
**Volume**: 267.6 Å³ per cell
**ΔE_f (raw)**: -600 meV/atom
**Electronic total energy**: -8.56 eV per atom


An optimized crystal structure of Ac2ZnCuN, computed with PBE.

Cell lengths 7.418, 4.028, 8.386 Å; angles 90.00, 107.30, 90.00 degrees
Atoms (fractional coordinates):
Ac: 0.202 0.250 0.452
Ac: 0.204 0.250 0.896
Ac: 0.796 0.750 0.104
Ac: 0.798 0.750 0.548
Zn: 0.356 0.750 0.212
Zn: 0.644 0.250 0.788
Cu: 0.439 0.750 0.739
Cu: 0.561 0.250 0.261
N: 0.153 0.750 0.668
N: 0.847 0.250 0.332

Summary:
**Volume**: 239.3 Å³ per cell
**ΔE_f (raw)**: -480 meV/atom
**Electronic total energy**: -4.86 eV per atom


An optimized crystal structure of AcZr2CuN4, computed with PBE.

Cell lengths 5.874, 5.874, 11.379 Å; angles 90.00, 90.00, 146.48 degrees
Atoms (fractional coordinates):
Ac: 0.102 0.898 0.750
Ac: 0.898 0.102 0.250
Zr: 0.365 0.635 0.555
Zr: 0.365 0.635 0.945
Zr: 0.635 0.365 0.055
Zr: 0.635 0.365 0.445
Cu: 0.163 0.837 0.250
Cu: 0.837 0.163 0.750
N: 0.000 0.000 0.000
N: 0.000 0.000 0.500
N: 0.263 0.737 0.106
N: 0.263 0.737 0.394
N: 0.437 0.563 0.750
N: 0.563 0.437 0.250
N: 0.737 0.263 0.606
N: 0.737 0.263 0.894

Summary:
**Volume**: 216.8 Å³ per cell
**ΔE_f (raw)**: -1174 meV/atom
**Electronic total energy**: -8.50 eV per atom


An optimized crystal structure of NaAcCu4, computed with PBE.

Cell lengths 5.372, 5.372, 5.372 Å; angles 60.00, 60.00, 60.00 degrees
Atoms (fractional coordinates):
Na: 0.000 0.000 0.000
Ac: 0.250 0.250 0.250
Cu: 0.114 0.629 0.629
Cu: 0.629 0.114 0.629
Cu: 0.629 0.629 0.114
Cu: 0.629 0.629 0.629

Summary:
**Volume**: 109.6 Å³ per cell
**Electronic total energy**: -3.61 eV per atom
**Energy of formation**: 0.029 eV/atom


An optimized crystal structure of NaAcCu10, computed with PBE.

Cell lengths 4.090, 5.175, 8.901 Å; angles 90.00, 90.00, 90.00 degrees
Atoms (fractional coordinates):
Na: 0.000 0.000 0.000
Ac: 0.000 0.500 0.500
Cu: 0.000 0.000 0.315
Cu: 0.000 0.000 0.685
Cu: 0.000 0.500 0.155
Cu: 0.000 0.500 0.845
Cu: 0.500 0.000 0.500
Cu: 0.500 0.250 0.245
Cu: 0.500 0.250 0.755
Cu: 0.500 0.500 0.000
Cu: 0.500 0.750 0.245
Cu: 0.500 0.750 0.755

Summary:
**Volume**: 188.4 Å³ per cell
**Electronic total energy**: -3.89 eV per atom
**Energy of formation**: -0.024 eV/atom